[1]
Crystalline Sm2Gd2Mg3Ni2 at its relaxed geometry, computed with PBE.

a = 7.490 Å, b = 3.703 Å, c = 8.346 Å
α = 90.00°, β = 108.14°, γ = 90.00°
Atoms (fractional coordinates):
Sm 0.086 0.000 0.220
Sm 0.914 0.000 0.780
Gd 0.393 0.000 0.674
Gd 0.607 0.000 0.326
Mg 0.000 0.500 0.500
Mg 0.297 0.500 0.002
Mg 0.703 0.500 0.998
Ni 0.345 0.500 0.391
Ni 0.655 0.500 0.609

Computed properties:
- E (eV per atom) = -4.078
- space group = P2/m


[2]
Crystalline Gd2MgZn3Ni2 at its relaxed geometry, computed with PBE.

a = 5.197 Å, b = 5.197 Å, c = 7.373 Å
α = 90.30°, β = 90.30°, γ = 46.17°
Atoms (fractional coordinates):
Gd 0.000 0.000 0.000
Gd 0.121 0.121 0.518
Mg 0.718 0.718 0.200
Zn 0.406 0.406 0.699
Zn 0.409 0.409 0.313
Zn 0.719 0.719 0.808
Ni 0.281 0.281 0.998
Ni 0.849 0.849 0.514

Computed properties:
- E (eV per atom) = -3.594
- space group = Cm


Question: Which of these has the highest E?
Answer: Gd2MgZn3Ni2


Question: Among the records above, which one has the lowest E?
Answer: Sm2Gd2Mg3Ni2


Question: Among the records above, which one has the lowest E?
Answer: Sm2Gd2Mg3Ni2


Question: What is the E in the first record?
Answer: -4.078 eV per atom